Entry 1:
Here is a geometry-optimized LaInSe2 structure from Alexandria via LeMat-Bulk. Energies are from PBE.

Unit cell a=8.360 b=8.360 c=8.360 alpha=153.00 beta=150.91 gamma=40.10
Atoms (fractional coordinates):
In (0.467, 0.467, 0.000)
La (0.203, 0.703, 0.500)
Se (0.060, 0.060, 0.000)
Se (0.770, 0.270, 0.500)



Entry 2:
Here is a geometry-optimized LaIn4Se structure from Alexandria via LeMat-Bulk. Energies are from PBE.

Unit cell a=6.143 b=6.143 c=6.143 alpha=60.00 beta=60.00 gamma=60.00
Atoms (fractional coordinates):
La (0.750, 0.750, 0.750)
In (0.875, 0.375, 0.375)
In (0.375, 0.375, 0.875)
In (0.375, 0.875, 0.375)
In (0.375, 0.375, 0.375)
Se (0.000, 0.000, 0.000)



Entry 3:
Here is a geometry-optimized LaInSe2 structure from Alexandria via LeMat-Bulk. Energies are from PBE.

Unit cell a=8.606 b=8.606 c=8.606 alpha=29.87 beta=29.87 gamma=29.87
Atoms (fractional coordinates):
In (0.507, 0.507, 0.507)
La (0.747, 0.747, 0.747)
Se (0.027, 0.027, 0.027)
Se (0.219, 0.219, 0.219)



Entry 4:
Here is a geometry-optimized La2InSe2 structure from Alexandria via LeMat-Bulk. Energies are from PBE.

Unit cell a=5.045 b=5.045 c=7.696 alpha=70.86 beta=70.86 gamma=90.00
Atoms (fractional coordinates):
In (0.000, 0.000, 0.000)
Se (0.750, 0.250, 0.500)
Se (0.250, 0.750, 0.500)
La (0.359, 0.359, 0.282)
La (0.641, 0.641, 0.718)



Entry 5:
Here is a geometry-optimized LaInSe2 structure from Alexandria via LeMat-Bulk. Energies are from PBE.

Unit cell a=6.293 b=6.293 c=6.293 alpha=139.81 beta=139.81 gamma=58.14
Atoms (fractional coordinates):
In (0.500, 0.500, 0.000)
La (0.750, 0.250, 0.500)
Se (0.000, 0.000, 0.000)
Se (0.250, 0.750, 0.500)



Entry 6:
Here is a geometry-optimized La2InSe2 structure from Alexandria via LeMat-Bulk. Energies are from PBE.

Unit cell a=8.445 b=8.445 c=3.861 alpha=90.00 beta=90.00 gamma=90.00
Atoms (fractional coordinates):
In (0.000, 0.000, 0.000)
In (0.500, 0.500, 0.000)
Se (0.361, 0.861, 0.000)
Se (0.861, 0.639, 0.000)
Se (0.639, 0.139, 0.000)
Se (0.139, 0.361, 0.000)
La (0.160, 0.660, 0.500)
La (0.660, 0.840, 0.500)
La (0.840, 0.340, 0.500)
La (0.340, 0.160, 0.500)



Entry 7:
Here is a geometry-optimized LaInSe2 structure from Alexandria via LeMat-Bulk. Energies are from PBE.

Unit cell a=3.796 b=3.796 c=8.428 alpha=63.24 beta=90.00 gamma=90.00
Atoms (fractional coordinates):
In (0.500, 0.250, 0.250)
La (0.500, 0.750, 0.750)
Se (0.000, 0.026, 0.974)
Se (0.000, 0.474, 0.526)



Entry 8:
Here is a geometry-optimized LaInSe2 structure from Alexandria via LeMat-Bulk. Energies are from PBE.

Unit cell a=6.077 b=6.077 c=4.490 alpha=90.00 beta=90.00 gamma=40.28
Atoms (fractional coordinates):
In (0.494, 0.494, 0.625)
Se (0.996, 0.996, 0.125)
Se (0.728, 0.728, 0.625)
La (0.282, 0.282, 0.125)



Computed values of formation energy without anion corrections (unit: eV/atom) for the preceding records, in sequence: -1.252, -0.207, -1.006, -1.135, -1.122, -1.323, -1.211, -1.373.
Computed values of calculated total energy (unit: eV/cell) for the preceding records, in sequence: -19.6, -20.6, -18.7, -25.2, -19.1, -52.3, -19.5, -20.1.